Version 1
Computed, not measured: crystalline KLi2ZrRe at its relaxed geometry at the PBE level of DFT.

Computed properties:
- space group = P4/mmm, No. 123

Cell and atoms, written as POSCAR:
```
KLi2ZrRe
1.0
4.0891 0.0000 0.0000
0.0000 4.0891 0.0000
0.0000 0.0000 5.5154
K Li Zr Re
1 2 1 1
Cartesian
0.0000 0.0000 0.0000
0.0000 2.0446 0.0000
2.0446 0.0000 0.0000
0.0000 0.0000 2.7577
2.0446 2.0446 2.7577
```

Version 2
Computed, not measured: crystalline KLi2ZrRe at its relaxed geometry at the PBE level of DFT.

Computed properties:
- space group = P4/mmm, No. 123

Cell and atoms, written as POSCAR:
```
KLi2ZrRe
1.0
4.8424 0.0000 0.0000
0.0000 4.8424 0.0000
0.0000 0.0000 5.0868
K Li Zr Re
1 2 1 1
Cartesian
0.0000 0.0000 0.0000
0.0000 2.4212 2.5434
2.4212 0.0000 2.5434
2.4212 2.4212 0.0000
0.0000 0.0000 2.5434
```

Least stable: version 2

Version 1
Computed, not measured: crystalline KLiRh at its relaxed geometry at the PBE level of DFT.

Computed properties:
- space group = I4mm, No. 107

Cell and atoms, written as POSCAR:
```
KLiRh
1.0
-1.6404 1.6404 5.9481
1.6404 -1.6404 5.9481
1.6404 1.6404 -5.9481
K Li Rh
1 1 1
Cartesian
0.0000 0.0000 0.0000
0.0000 0.0000 3.2701
0.0000 0.0000 8.2897
```

Version 2
Computed, not measured: crystalline KLiRh at its relaxed geometry at the PBE level of DFT.

Computed properties:
- space group = F-43m, No. 216

Cell and atoms, written as POSCAR:
```
KLiRh
1.0
0.0000 3.4196 3.4196
3.4196 0.0000 3.4196
3.4196 3.4196 0.0000
K Li Rh
1 1 1
Cartesian
0.0000 0.0000 0.0000
5.1294 5.1294 5.1294
1.7098 1.7098 1.7098
```

Version 3
Computed, not measured: crystalline KLiRh at its relaxed geometry at the PBE level of DFT.

Computed properties:
- space group = F-43m, No. 216

Cell and atoms, written as POSCAR:
```
KLiRh
1.0
0.0000 3.3486 3.3486
3.3486 0.0000 3.3486
3.3486 3.3486 0.0000
K Li Rh
1 1 1
Cartesian
0.0000 0.0000 0.0000
5.0229 5.0229 5.0229
3.3486 3.3486 3.3486
```

Least stable: version 2

Version 1
Computed, not measured: crystalline KLiRh at its relaxed geometry at the PBE level of DFT.

Computed properties:
- space group = Imm2, No. 44

Cell and atoms, written as POSCAR:
```
KLiRh
1.0
-1.3725 2.1241 5.6792
1.3725 -2.1241 5.6792
1.3725 2.1241 -5.6792
K Li Rh
1 1 1
Cartesian
0.0000 0.0000 0.0000
0.0000 0.0000 8.3042
0.0000 0.0000 3.3036
```

Version 2
Computed, not measured: crystalline KLiRh at its relaxed geometry at the PBE level of DFT.

Computed properties:
- space group = P3m1, No. 156

Cell and atoms, written as POSCAR:
```
KLiRh
1.0
5.1044 0.0000 0.0000
-2.5522 4.4205 0.0000
0.0000 0.0000 2.7201
K Li Rh
1 1 1
Cartesian
0.0000 0.0000 0.0000
2.5522 1.4735 0.4461
0.0000 2.9470 1.4968
```

Least stable: version 2

Version 1
Computed, not measured: crystalline K2LiRh2 at its relaxed geometry at the PBE level of DFT.

Computed properties:
- space group = P4/mbm, No. 127

Cell and atoms, written as POSCAR:
```
K2LiRh2
1.0
9.7755 0.0000 0.0000
0.0000 9.7755 0.0000
0.0000 0.0000 2.8228
K Li Rh
4 2 4
Cartesian
1.9056 2.9821 0.0000
2.9821 7.8699 0.0000
6.7933 1.9056 0.0000
7.8699 6.7933 0.0000
0.0000 0.0000 1.4114
4.8877 4.8877 1.4114
0.8509 5.7387 1.4114
4.0368 0.8509 1.4114
5.7387 8.9245 1.4114
8.9245 4.0368 1.4114
```

Version 2
Computed, not measured: crystalline K2LiRh2 at its relaxed geometry at the PBE level of DFT.

Computed properties:
- space group = I4/mmm, No. 139

Cell and atoms, written as POSCAR:
```
K2LiRh2
1.0
-2.2930 2.2930 6.9802
2.2930 -2.2930 6.9802
2.2930 2.2930 -6.9802
K Li Rh
2 1 2
Cartesian
2.2930 0.0000 3.4901
0.0000 2.2930 3.4901
0.0000 0.0000 0.0000
0.0000 0.0000 5.8024
0.0000 0.0000 8.1581
```

Least stable: version 2

Version 1
Computed, not measured: crystalline KLiRh3 at its relaxed geometry at the PBE level of DFT.

Computed properties:
- space group = Pm-3m, No. 221

Cell and atoms, written as POSCAR:
```
KLiRh3
1.0
4.4275 0.0000 0.0000
0.0000 4.4275 0.0000
0.0000 0.0000 4.4275
K Li Rh
1 1 3
Cartesian
0.0000 0.0000 0.0000
2.2138 2.2138 2.2138
0.0000 2.2138 2.2138
2.2138 0.0000 2.2138
2.2138 2.2138 0.0000
```

Version 2
Computed, not measured: crystalline KLiRh3 at its relaxed geometry at the PBE level of DFT.

Computed properties:
- space group = Pm-3m, No. 221

Cell and atoms, written as POSCAR:
```
KLiRh3
1.0
4.8279 0.0000 0.0000
0.0000 4.8279 0.0000
0.0000 0.0000 4.8279
K Li Rh
1 1 3
Cartesian
0.0000 0.0000 0.0000
2.4140 2.4140 2.4140
0.0000 0.0000 2.4140
0.0000 2.4140 0.0000
2.4140 0.0000 0.0000
```

Least stable: version 2

Version 1
Computed, not measured: crystalline K2LiRu at its relaxed geometry at the PBE level of DFT.

Computed properties:
- space group = Cm, No. 8

Cell and atoms, written as POSCAR:
```
K2LiRu
1.0
6.4731 -1.4209 0.0000
6.4731 1.4209 0.0000
-1.7374 0.0000 6.1483
K Li Ru
2 1 1
Cartesian
0.0000 0.0000 0.0000
1.5094 0.0000 3.7459
4.4694 0.0000 2.4708
9.5608 0.0000 0.8189
```

Version 2
Computed, not measured: crystalline K2LiRu at its relaxed geometry at the PBE level of DFT.

Computed properties:
- space group = P2/m, No. 10

Cell and atoms, written as POSCAR:
```
K2LiRu
1.0
2.8796 0.0000 0.0000
0.0000 5.5426 0.0000
-1.1790 0.0000 6.3662
K Li Ru
2 1 1
Cartesian
0.1664 0.0000 1.4945
1.5342 0.0000 4.8717
-0.5895 2.7713 3.1831
1.4398 2.7713 0.0000
```

Version 3
Computed, not measured: crystalline K2LiRu at its relaxed geometry at the PBE level of DFT.

Computed properties:
- space group = Pmm2, No. 25

Cell and atoms, written as POSCAR:
```
K2LiRu
1.0
3.0243 0.0000 0.0000
0.0000 4.1730 0.0000
0.0000 0.0000 9.7785
K Li Ru
2 1 1
Cartesian
0.0000 0.0000 0.0000
1.5121 2.0865 4.1603
0.0000 0.0000 6.6570
1.5121 2.0865 7.4011
```

Least stable: version 2

Version 1
Computed, not measured: crystalline K2LiRu at its relaxed geometry at the PBE level of DFT.

Computed properties:
- space group = C2/m, No. 12

Cell and atoms, written as POSCAR:
```
K2LiRu
1.0
3.1868 -5.5411 0.0000
3.1868 5.5411 0.0000
-0.4683 0.0000 2.8724
K Li Ru
2 1 1
Cartesian
1.5934 2.7705 0.0000
1.5934 -2.7705 0.0000
-0.2342 0.0000 1.4362
2.9527 0.0000 1.4362
```

Version 2
Computed, not measured: crystalline K2LiRu at its relaxed geometry at the PBE level of DFT.

Computed properties:
- space group = P4/mmm, No. 123

Cell and atoms, written as POSCAR:
```
K2LiRu
1.0
4.4152 0.0000 0.0000
0.0000 4.4152 0.0000
0.0000 0.0000 6.7342
K Li Ru
2 1 1
Cartesian
0.0000 0.0000 1.5594
0.0000 0.0000 5.1748
2.2076 2.2076 3.3671
2.2076 2.2076 0.0000
```

Version 3
Computed, not measured: crystalline K2LiRu at its relaxed geometry at the PBE level of DFT.

Computed properties:
- space group = Pm, No. 6

Cell and atoms, written as POSCAR:
```
K2LiRu
1.0
2.8158 0.0000 0.0000
0.0000 4.3966 0.0000
-0.8799 0.0000 9.6278
K Li Ru
2 1 1
Cartesian
0.0000 0.0000 0.0000
-0.0015 2.1983 5.4229
-0.0081 2.1983 2.3955
1.4025 0.0000 3.0771
```

Least stable: version 2

Version 1
Computed, not measured: crystalline K2LiRu at its relaxed geometry at the PBE level of DFT.

Computed properties:
- space group = Fm-3m, No. 225

Cell and atoms, written as POSCAR:
```
K2LiRu
1.0
0.0000 3.9990 3.9990
3.9990 0.0000 3.9990
3.9990 3.9990 0.0000
K Li Ru
2 1 1
Cartesian
1.9995 1.9995 1.9995
5.9985 5.9985 5.9985
0.0000 0.0000 0.0000
3.9990 3.9990 3.9990
```

Version 2
Computed, not measured: crystalline K2LiRu at its relaxed geometry at the PBE level of DFT.

Computed properties:
- space group = R-3m, No. 166

Cell and atoms, written as POSCAR:
```
K2LiRu
1.0
1.5937 0.9201 12.1567
-1.5937 0.9201 12.1567
0.0000 -1.8403 12.1567
K Li Ru
2 1 1
Cartesian
0.0000 0.0000 8.7174
0.0000 0.0000 27.7528
0.0000 0.0000 0.0000
0.0000 0.0000 18.2351
```

Least stable: version 1